[1]
5
Lattice="5.389 0.000 0.000 0.000 5.389 0.000 0.000 0.000 5.389" Properties=species:S:1:pos:R:3 comment="ErIn3Se, optimized geometry, DFT PBE" sg=Pm-3m magnetic_moment_mub_per_cell=0.012 e_tot_ev_per_cell=-14.76 pbc="T T T"
Er 0.000 0.000 0.000
In 0.000 2.694 2.694
In 2.694 0.000 2.694
In 2.694 2.694 0.000
Se 2.694 2.694 2.694



[2]
12
Lattice="6.632 0.000 0.000 0.000 6.632 0.000 0.000 0.000 6.632" Properties=species:S:1:pos:R:3 comment="ErInSi, optimized geometry, DFT PBE" sg=F-43m magnetic_moment_mub_per_cell=0.051 e_tot_ev_per_cell=-52.48 pbc="T T T"
Er 0.000 0.000 0.000
Er 0.000 3.316 3.316
Er 3.316 0.000 3.316
Er 3.316 3.316 0.000
In 0.000 0.000 3.316
In 0.000 3.316 0.000
In 3.316 0.000 0.000
In 3.316 3.316 3.316
Si 1.658 1.658 1.658
Si 1.658 4.974 4.974
Si 4.974 1.658 4.974
Si 4.974 4.974 1.658



[3]
8
Lattice="4.059 0.000 0.000 0.000 4.382 0.000 0.000 0.000 10.953" Properties=species:S:1:pos:R:3 comment="Er2InSi, optimized geometry, DFT PBE" sg=Amm2 magnetic_moment_mub_per_cell=0.001 e_tot_ev_per_cell=-39.08 pbc="T T T"
Er 0.000 0.000 0.000
Er 0.000 2.191 5.476
Er 2.030 0.000 3.088
Er 2.030 2.191 8.564
In 2.030 0.000 6.191
In 2.030 2.191 0.714
Si 0.000 0.000 8.011
Si 0.000 2.191 2.535



[4]
8
Lattice="4.331 0.000 0.000 0.000 4.584 0.000 0.000 0.000 11.531" Properties=species:S:1:pos:R:3 comment="SmErIn2, optimized geometry, DFT PBE" sg=Amm2 magnetic_moment_mub_per_cell=0.026 e_tot_ev_per_cell=-32.88 pbc="T T T"
Sm 0.000 0.000 0.000
Sm 0.000 2.292 5.766
Er 2.166 0.000 8.337
Er 2.166 2.292 2.571
In 0.000 0.000 3.168
In 0.000 2.292 8.934
In 2.166 0.000 5.139
In 2.166 2.292 10.905



[5]
12
Lattice="4.652 0.000 0.000 0.000 4.623 0.000 0.000 0.000 14.224" Properties=species:S:1:pos:R:3 comment="SmErIn4, optimized geometry, DFT PBE" sg=Amm2 magnetic_moment_mub_per_cell=0.034 e_tot_ev_per_cell=-45.73 pbc="T T T"
Sm 0.000 0.000 0.000
Sm 0.000 2.312 7.112
Er 0.000 0.000 4.407
Er 0.000 2.312 11.519
In 0.000 0.000 9.341
In 0.000 2.312 2.229
In 2.326 0.000 2.231
In 2.326 0.000 6.797
In 2.326 0.000 11.778
In 2.326 2.312 4.666
In 2.326 2.312 9.343
In 2.326 2.312 13.909



[6]
4
Lattice="4.867 0.000 0.000 0.000 4.867 0.000 0.000 0.000 4.914" Properties=species:S:1:pos:R:3 comment="Sm2ErIn, optimized geometry, DFT PBE" sg=P4/mmm magnetic_moment_mub_per_cell=0.058 e_tot_ev_per_cell=-17.81 pbc="T T T"
Sm 0.000 2.434 0.000
Sm 2.434 0.000 0.000
Er 0.000 0.000 2.457
In 2.434 2.434 2.457